# 1
Entry from Alexandria via LeMat-Bulk: Ac2Sn2Pb after structural relaxation (GGA-PBE).

Properties
Crystal system: tetragonal
Energy above the lowest structure with this stoichiometry, eV/f.u.: 0.000
DOS(E_F), states/eV per cell: 5.043
Formation enthalpy at 0 K, eV/f.u.: -3.2
Calculated volume, Å³/f.u.: 172

a = 4.8307 Å, b = 8.4509 Å, c = 8.4509 Å
α = 90.00°, β = 90.00°, γ = 90.00°
With the nearest neighbours (Å) after each atom.
Sites, in units of the cell vectors:
Sn 0.0000 0.3772 0.8772  1 Sn 2.94
Sn 0.0000 0.8772 0.6228  1 Sn 2.94
Sn 0.0000 0.6228 0.1228  1 Sn 2.94
Sn 0.0000 0.1228 0.3772  1 Sn 2.94
Ac 0.5000 0.6774 0.8226  6 Sn 3.40-3.53
Ac 0.5000 0.8226 0.3226  6 Sn 3.40-3.53
Ac 0.5000 0.1774 0.6774  6 Sn 3.40-3.53
Ac 0.5000 0.3226 0.1774  6 Sn 3.40-3.53
Pb 0.0000 0.5000 0.5000  4 Sn 3.35
Pb 0.0000 0.0000 0.0000  4 Sn 3.35

=====

# 2
Entry from Alexandria via LeMat-Bulk: Ac4SnPb3 after structural relaxation (GGA-PBE).

Properties
Crystal system: orthorhombic
DOS(E_F), states/eV per cell: 8.294
Formation enthalpy at 0 K, eV/f.u.: -4.6
Calculated volume, Å³/f.u.: 296

a = 5.0178 Å, b = 4.6902 Å, c = 12.5640 Å
α = 90.00°, β = 90.00°, γ = 90.00°
With the nearest neighbours (Å) after each atom.
Sites, in units of the cell vectors:
Sn 0.5000 0.5000 0.0875  2 Pb 3.21, 5 Ac 3.44-3.49
Ac 0.0000 0.5000 0.8668  5 Pb 3.47-3.48, 2 Sn 3.74
Ac 0.0000 0.0000 0.1351  3 Pb 3.46-3.76, 4 Sn 3.49
Ac 0.5000 0.5000 0.3612  1 Sn 3.44, 6 Pb 3.49-3.82
Ac 0.5000 0.0000 0.6358  7 Pb 3.48-3.78
Pb 0.5000 0.0000 0.9126  2 Sn 3.21, 5 Ac 3.48
Pb 0.0000 0.5000 0.5902  2 Pb 3.25, 5 Ac 3.47-3.48
Pb 0.0000 0.0000 0.4108  2 Pb 3.25, 5 Ac 3.46-3.49

=====

# 3
Entry from Alexandria via LeMat-Bulk: Ac3SnPb5 after structural relaxation (GGA-PBE).

Properties
Crystal system: hexagonal
DOS(E_F), states/eV per cell: 12.432
Formation enthalpy at 0 K, eV/f.u.: -3.3
Calculated volume, Å³/f.u.: 306

a = 7.0049 Å, b = 10.0366 Å, c = 10.0366 Å
α = 120.00°, β = 90.00°, γ = 90.00°
With the nearest neighbours (Å) after each atom.
Sites, in units of the cell vectors:
Pb 0.7500 0.2895 0.2895  5 Ac 3.39-3.60, 2 Sn 3.39
Pb 0.2500 0.7104 0.7104  5 Ac 3.39-3.60, 2 Sn 3.39
Pb 0.5000 0.6667 0.3333  2 Pb 3.50, 6 Ac 3.62
Pb 0.0000 0.6667 0.3333  2 Pb 3.50, 6 Ac 3.62
Pb 0.7500 0.0000 0.7104  5 Ac 3.39-3.60, 2 Sn 3.39
Pb 0.0000 0.3333 0.6667  2 Pb 3.50, 6 Ac 3.62
Pb 0.5000 0.3333 0.6667  2 Pb 3.50, 6 Ac 3.62
Pb 0.7500 0.7104 0.0000  5 Ac 3.39-3.60, 2 Sn 3.39
Pb 0.2500 0.0000 0.2895  5 Ac 3.39-3.60, 2 Sn 3.39
Pb 0.2500 0.2895 0.0000  5 Ac 3.39-3.60, 2 Sn 3.39
Ac 0.2500 0.0000 0.6289  9 Pb 3.39-3.62
Ac 0.2500 0.6289 0.0000  9 Pb 3.39-3.62
Ac 0.7500 0.0000 0.3711  9 Pb 3.39-3.62
Ac 0.2500 0.3711 0.3711  9 Pb 3.39-3.62
Ac 0.7500 0.3711 0.0000  9 Pb 3.39-3.62
Ac 0.7500 0.6289 0.6289  9 Pb 3.39-3.62
Sn 0.5000 0.0000 0.0000  6 Pb 3.39, 2 Sn 3.50
Sn 0.0000 0.0000 0.0000  6 Pb 3.39, 2 Sn 3.50